[1]
RbZrCl2 | meta-GGA SCAN | PBEsol geometry

## Properties
uncorrected formation energy = -4.77 eV/f.u.

Cell lengths 3.6178, 3.6178, 9.7036 Å; angles 79.26, 79.26, 60.00 degrees
With the nearest neighbours (Å) after each atom.
Positions (direct):
Cl1 0.0872 0.0872 0.7383  1 Zr 2.48
Cl2 0.9128 0.9128 0.2617  1 Zr 2.48
Rb1 0.5000 0.5000 0.5000  6 Cl 3.08
Zr1 0.0000 0.0000 0.0000  2 Cl 2.48

=====

[2]
ReCl5 | meta-GGA SCAN | PBEsol geometry

## Properties
uncorrected formation energy = -3.95 eV/f.u.

Cell lengths 9.1625, 11.4358, 12.1288 Å; angles 90.00, 109.26, 90.00 degrees
With the nearest neighbours (Å) after each atom.
Positions (direct):
Re1 0.3088 0.6232 0.7924  6 Cl 2.24-2.45
Cl1 0.2907 0.7422 0.6390  1 Re 2.27
Cl2 0.0944 0.9884 0.1584  2 Re 2.45-2.46
Cl3 0.9033 0.2615 0.1817  2 Re 2.45
Cl4 0.9018 0.9911 0.3396  1 Re 2.26
Cl5 0.9044 0.7438 0.5415  1 Re 2.26
Cl6 0.4809 0.9953 0.2544  1 Re 2.24
Cl7 0.4833 0.7610 0.4179  1 Re 2.24
Cl8 0.2862 0.9941 0.4360  1 Re 2.26
Re2 0.8822 0.8735 0.1852  6 Cl 2.24-2.46
Cl9 0.5167 0.2610 0.0821  1 Re 2.24
Cl10 0.5191 0.4953 0.2456  1 Re 2.24
Cl11 0.9018 0.5089 0.8396  1 Re 2.26
Re3 0.8822 0.6265 0.6852  6 Cl 2.24-2.46
Cl12 0.7098 0.7559 0.2236  1 Re 2.24
Cl13 0.0956 0.2562 0.4585  1 Re 2.26
Cl14 0.9056 0.0116 0.8416  2 Re 2.45-2.46
Cl15 0.9033 0.2385 0.6817  2 Re 2.45
Cl16 0.0944 0.5116 0.6584  2 Re 2.45-2.46
Cl17 0.7078 0.9908 0.0608  1 Re 2.24
Re4 0.6912 0.1232 0.7076  6 Cl 2.24-2.45
Cl18 0.7078 0.5092 0.5608  1 Re 2.24
Cl19 0.0967 0.7615 0.3183  2 Re 2.45
Cl20 0.7098 0.7441 0.7236  1 Re 2.24
Cl21 0.2922 0.0092 0.9392  1 Re 2.24
Cl22 0.7093 0.2422 0.8610  1 Re 2.27
Cl23 0.5191 0.0047 0.7456  1 Re 2.24
Re5 0.1178 0.3735 0.3148  6 Cl 2.24-2.46
Re6 0.6912 0.3768 0.2076  6 Cl 2.24-2.45
Cl24 0.2902 0.2441 0.7764  1 Re 2.24
Cl25 0.0982 0.0089 0.6604  1 Re 2.26
Cl26 0.2862 0.5059 0.9360  1 Re 2.26
Cl27 0.7138 0.0059 0.5640  1 Re 2.26
Cl28 0.2922 0.4908 0.4392  1 Re 2.24
Cl29 0.5167 0.2390 0.5821  1 Re 2.24
Cl30 0.7093 0.2578 0.3610  1 Re 2.27
Cl31 0.9044 0.7562 0.0415  1 Re 2.26
Re7 0.3088 0.8768 0.2924  6 Cl 2.24-2.45
Cl32 0.4809 0.5047 0.7544  1 Re 2.24
Cl33 0.2907 0.7578 0.1390  1 Re 2.27
Re8 0.1178 0.1265 0.8148  6 Cl 2.24-2.46
Cl34 0.0982 0.4911 0.1604  1 Re 2.26
Cl35 0.2902 0.2559 0.2764  1 Re 2.24
Cl36 0.0967 0.7385 0.8183  2 Re 2.45
Cl37 0.9056 0.4884 0.3416  2 Re 2.45-2.46
Cl38 0.4833 0.7390 0.9179  1 Re 2.24
Cl39 0.0956 0.2438 0.9585  1 Re 2.26
Cl40 0.7138 0.4941 0.0640  1 Re 2.26

=====

[3]
ReCl4 | meta-GGA SCAN | PBEsol geometry

## Properties
uncorrected formation energy = -3.46 eV/f.u.

Cell lengths 6.3100, 6.3964, 12.4081 Å; angles 90.00, 93.00, 90.00 degrees
With the nearest neighbours (Å) after each atom.
Positions (direct):
Cl1 0.6380 0.4359 0.1363  1 Re 2.26
Cl2 0.1337 0.4122 0.6316  2 Re 2.35-2.41
Cl3 0.0000 0.0409 0.2500  2 Re 2.41
Cl4 0.1337 0.5878 0.1316  2 Re 2.35-2.41
Cl5 0.7502 0.8832 0.0264  1 Re 2.26
Re1 0.8152 0.2704 0.6890  6 Cl 2.26-2.42
Cl6 0.8663 0.5878 0.3684  2 Re 2.35-2.41
Cl7 0.7502 0.1168 0.5264  1 Re 2.26
Cl8 0.3620 0.5641 0.8637  1 Re 2.26
Cl9 0.6380 0.5641 0.6363  1 Re 2.26
Re2 0.1848 0.7296 0.3110  6 Cl 2.26-2.42
Cl10 0.2498 0.1168 0.9736  1 Re 2.26
Re3 0.1848 0.2704 0.8110  6 Cl 2.26-2.42
Cl11 0.3620 0.4359 0.3637  1 Re 2.26
Cl12 0.5000 0.8989 0.2500  2 Re 2.42
Cl13 0.8663 0.4122 0.8684  2 Re 2.35-2.41
Cl14 0.5000 0.1011 0.7500  2 Re 2.42
Re4 0.8152 0.7296 0.1890  6 Cl 2.26-2.42
Cl15 0.0000 0.9591 0.7500  2 Re 2.41
Cl16 0.2498 0.8832 0.4736  1 Re 2.26

=====

[4]
ReCl6 | meta-GGA SCAN | PBEsol geometry

## Properties
uncorrected formation energy = -4.16 eV/f.u.

Cell lengths 5.9784, 5.9784, 6.4027 Å; angles 62.17, 62.17, 60.00 degrees
With the nearest neighbours (Å) after each atom.
Positions (direct):
Cl1 0.2334 0.9133 0.2428  1 Re 2.28
Cl2 0.7666 0.0867 0.7572  1 Re 2.28
Re1 0.0000 0.0000 0.0000  6 Cl 2.28
Cl3 0.0867 0.3896 0.7572  1 Re 2.28
Cl4 0.6104 0.2334 0.2428  1 Re 2.28
Cl5 0.3896 0.7666 0.7572  1 Re 2.28
Cl6 0.9133 0.6104 0.2428  1 Re 2.28

=====

What is the formula in the second record? ReCl5

=====

The lowest uncorrected formation energy belongs to which entry? RbZrCl2